This record from the Alexandria database describes a relaxed CsK7Rb5 crystal. The functional is GGA-PBEsol.

Computed properties:
Density of states at the Fermi level, states/eV per atom: 0.81
Symmetry: P6_3/mmc
Final energy, eV/atom: -1.071
Energy of formation, eV per atom: 0.006

abc: 8.7182 8.7182 31.5148
angles: 90.00 90.00 120.00
With the nearest neighbours (Å) after each atom.
Element x y z (fractional)
K (0.1677, 0.8323, 0.3859)  5 K 4.33-4.40, 2 Rb 4.82
K (0.1677, 0.3354, 0.1141)  5 K 4.33-4.40, 2 Rb 4.82
Cs (0.3333, 0.6667, 0.2500)  6 K 4.96, 9 Rb 5.03-5.51
Rb (0.3333, 0.6667, 0.6791)  2 Rb 4.47-4.88, 6 K 4.82
Rb (0.6667, 0.3333, 0.4759)  4 Rb 4.88-5.26, 12 K 5.02-5.20
K (0.3354, 0.1677, 0.8859)  5 K 4.33-4.40, 2 Rb 4.82
K (0.6646, 0.8323, 0.3859)  5 K 4.33-4.40, 2 Rb 4.82
K (0.6646, 0.8323, 0.1141)  5 K 4.33-4.40, 2 Rb 4.82
K (0.8323, 0.6646, 0.8859)  5 K 4.33-4.40, 2 Rb 4.82
Rb (0.6667, 0.3333, 0.3209)  2 Rb 4.47-4.88, 6 K 4.82
K (0.8323, 0.1677, 0.8859)  5 K 4.33-4.40, 2 Rb 4.82
K (0.1677, 0.8323, 0.1141)  5 K 4.33-4.40, 2 Rb 4.82
K (0.1677, 0.3354, 0.3859)  5 K 4.33-4.40, 2 Rb 4.82
K (0.8323, 0.6646, 0.6141)  5 K 4.33-4.40, 2 Rb 4.82
K (0.0000, 0.0000, 0.5000)  6 K 4.40
Rb (0.0000, 0.0000, 0.7500)  6 K 4.97, 3 Cs 5.03, 6 Rb 5.51
Rb (0.0000, 0.0000, 0.2500)  6 K 4.97, 3 Cs 5.03, 6 Rb 5.51
Rb (0.6667, 0.3333, 0.1791)  2 Rb 4.47-4.88, 6 K 4.82
Rb (0.6667, 0.3333, 0.0241)  4 Rb 4.88-5.26, 12 K 5.02-5.20
K (0.3354, 0.1677, 0.6141)  5 K 4.33-4.40, 2 Rb 4.82
Rb (0.3333, 0.6667, 0.5241)  4 Rb 4.88-5.26, 12 K 5.02-5.20
K (0.8323, 0.1677, 0.6141)  5 K 4.33-4.40, 2 Rb 4.82
Cs (0.6667, 0.3333, 0.7500)  6 K 4.96, 9 Rb 5.03-5.51
Rb (0.3333, 0.6667, 0.8209)  2 Rb 4.47-4.88, 6 K 4.82
Rb (0.3333, 0.6667, 0.9759)  4 Rb 4.88-5.26, 12 K 5.02-5.20
K (0.0000, 0.0000, 0.0000)  6 K 4.40